1) {
  "formula": "ZrMnSCl2",
  "functional": "GGA-PBE",
  "state": "relaxed",
  "space_group": "P4/mmm",
  "lattice": [[4.436, 0.000, 0.000], [0.000, 4.436, 0.000], [0.000, 0.000, 4.580]],
  "species": ["Zr", "Mn", "S", "Cl", "Cl"],
  "frac_coords": [[0.000, 0.000, 0.000], [0.500, 0.500, 0.500], [0.500, 0.500, 0.000], [0.000, 0.500, 0.500], [0.500, 0.000, 0.500]]
}

---

2) {
  "formula": "ZrMnSCl2",
  "functional": "GGA-PBE",
  "state": "relaxed",
  "space_group": "P4/mmm",
  "lattice": [[5.090, 0.000, 0.000], [0.000, 5.090, 0.000], [0.000, 0.000, 4.995]],
  "species": ["Zr", "Mn", "S", "Cl", "Cl"],
  "frac_coords": [[0.000, 0.000, 0.000], [0.500, 0.500, 0.500], [0.000, 0.000, 0.500], [0.000, 0.500, 0.000], [0.500, 0.000, 0.000]]
}

---

2) is favored, and the nearest alternative lies 54.2 kJ/mol of atoms above it.

---

1) {
  "formula": "MnSbCl2",
  "functional": "GGA-PBE",
  "state": "relaxed",
  "space_group": "Cm",
  "lattice": [[11.745, 0.000, 0.000], [0.000, 3.254, 0.000], [-1.258, 0.000, 5.470]],
  "species": ["Mn", "Mn", "Sb", "Sb", "Cl", "Cl", "Cl", "Cl"],
  "frac_coords": [[0.000, 0.000, 0.000], [0.500, 0.500, 0.000], [0.336, 0.000, 0.675], [0.836, 0.500, 0.675], [0.154, 0.500, 0.995], [0.466, 0.000, 0.340], [0.654, 0.000, 0.995], [0.966, 0.500, 0.340]]
}

---

2) {
  "formula": "MnSbCl2",
  "functional": "GGA-PBE",
  "state": "relaxed",
  "space_group": "Pmmm",
  "lattice": [[3.271, 0.000, 0.000], [0.000, 4.624, 0.000], [0.000, 0.000, 5.799]],
  "species": ["Mn", "Sb", "Cl", "Cl"],
  "frac_coords": [[0.000, 0.000, 0.000], [0.500, 0.000, 0.500], [0.000, 0.500, 0.500], [0.500, 0.500, 0.000]]
}

---

3) {
  "formula": "MnSbCl2",
  "functional": "GGA-PBE",
  "state": "relaxed",
  "space_group": "C2/m",
  "lattice": [[12.731, 0.000, 0.000], [0.000, 3.333, 0.000], [-1.187, 0.000, 5.329]],
  "species": ["Mn", "Mn", "Sb", "Sb", "Cl", "Cl", "Cl", "Cl"],
  "frac_coords": [[0.000, 0.000, 0.000], [0.500, 0.500, 0.000], [0.000, 0.500, 0.500], [0.500, 0.000, 0.500], [0.144, 0.500, 0.194], [0.356, 0.000, 0.806], [0.644, 0.000, 0.194], [0.856, 0.500, 0.806]]
}

---

1) is favored, and the nearest alternative lies 7.6 kJ/mol of atoms above it.

---

1) {
  "formula": "MnSbCl2",
  "functional": "GGA-PBE",
  "state": "relaxed",
  "space_group": "Cmmm",
  "lattice": [[3.525, 0.000, 0.000], [0.000, 5.685, 0.000], [0.000, 0.000, 11.878]],
  "species": ["Mn", "Mn", "Sb", "Sb", "Cl", "Cl", "Cl", "Cl"],
  "frac_coords": [[0.000, 0.000, 0.000], [0.500, 0.500, 0.000], [0.000, 0.000, 0.500], [0.500, 0.500, 0.500], [0.000, 0.500, 0.139], [0.000, 0.500, 0.861], [0.500, 0.000, 0.139], [0.500, 0.000, 0.861]]
}

---

2) {
  "formula": "MnSbCl2",
  "functional": "GGA-PBE",
  "state": "relaxed",
  "space_group": "F-43m",
  "lattice": [[7.010, 0.000, 0.000], [0.000, 7.010, 0.000], [0.000, 0.000, 7.010]],
  "species": ["Mn", "Mn", "Mn", "Mn", "Sb", "Sb", "Sb", "Sb", "Cl", "Cl", "Cl", "Cl", "Cl", "Cl", "Cl", "Cl"],
  "frac_coords": [[0.000, 0.000, 0.000], [0.000, 0.500, 0.500], [0.500, 0.000, 0.500], [0.500, 0.500, 0.000], [0.250, 0.250, 0.750], [0.250, 0.750, 0.250], [0.750, 0.250, 0.250], [0.750, 0.750, 0.750], [0.000, 0.000, 0.500], [0.000, 0.500, 0.000], [0.250, 0.250, 0.250], [0.250, 0.750, 0.750], [0.500, 0.000, 0.000], [0.500, 0.500, 0.500], [0.750, 0.250, 0.750], [0.750, 0.750, 0.250]]
}

---

3) {
  "formula": "MnSbCl2",
  "functional": "GGA-PBE",
  "state": "relaxed",
  "space_group": "Cmmm",
  "lattice": [[6.255, 0.000, 0.000], [0.000, 8.822, 0.000], [0.000, 0.000, 3.241]],
  "species": ["Mn", "Mn", "Sb", "Sb", "Cl", "Cl", "Cl", "Cl"],
  "frac_coords": [[0.000, 0.000, 0.000], [0.500, 0.500, 0.000], [0.000, 0.500, 0.000], [0.500, 0.000, 0.000], [0.250, 0.250, 0.500], [0.250, 0.750, 0.500], [0.750, 0.250, 0.500], [0.750, 0.750, 0.500]]
}

---

1) is favored, and the nearest alternative lies 50.5 kJ/mol of atoms above it.

---

1) {
  "formula": "Mn2SbCl",
  "functional": "GGA-PBE",
  "state": "relaxed",
  "space_group": "Pmm2",
  "lattice": [[3.828, 0.000, 0.000], [0.000, 5.475, 0.000], [0.000, 0.000, 4.193]],
  "species": ["Mn", "Mn", "Sb", "Cl"],
  "frac_coords": [[0.000, 0.000, 0.000], [0.500, 0.500, 0.363], [0.500, 0.000, 0.498], [0.000, 0.500, 0.967]]
}

---

2) {
  "formula": "Mn2SbCl",
  "functional": "GGA-PBE",
  "state": "relaxed",
  "space_group": "F-43m",
  "lattice": [[6.882, 0.000, 0.000], [0.000, 6.882, 0.000], [0.000, 0.000, 6.882]],
  "species": ["Mn", "Mn", "Mn", "Mn", "Mn", "Mn", "Mn", "Mn", "Sb", "Sb", "Sb", "Sb", "Cl", "Cl", "Cl", "Cl"],
  "frac_coords": [[0.000, 0.000, 0.000], [0.000, 0.500, 0.500], [0.250, 0.250, 0.250], [0.250, 0.750, 0.750], [0.500, 0.000, 0.500], [0.500, 0.500, 0.000], [0.750, 0.250, 0.750], [0.750, 0.750, 0.250], [0.250, 0.250, 0.750], [0.250, 0.750, 0.250], [0.750, 0.250, 0.250], [0.750, 0.750, 0.750], [0.000, 0.000, 0.500], [0.000, 0.500, 0.000], [0.500, 0.000, 0.000], [0.500, 0.500, 0.500]]
}

---

3) {
  "formula": "Mn2SbCl",
  "functional": "GGA-PBE",
  "state": "relaxed",
  "space_group": "Cmmm",
  "lattice": [[3.932, 0.000, 0.000], [0.000, 5.280, 0.000], [0.000, 0.000, 7.589]],
  "species": ["Mn", "Mn", "Mn", "Mn", "Sb", "Sb", "Cl", "Cl"],
  "frac_coords": [[0.000, 0.000, 0.250], [0.000, 0.000, 0.750], [0.500, 0.500, 0.250], [0.500, 0.500, 0.750], [0.000, 0.500, 0.000], [0.500, 0.000, 0.000], [0.000, 0.500, 0.500], [0.500, 0.000, 0.500]]
}

---

4) {
  "formula": "Mn2SbCl",
  "functional": "GGA-PBE",
  "state": "relaxed",
  "space_group": "P4mm",
  "lattice": [[3.093, 0.000, 0.000], [0.000, 3.093, 0.000], [0.000, 0.000, 8.940]],
  "species": ["Mn", "Mn", "Sb", "Cl"],
  "frac_coords": [[0.000, 0.000, 0.000], [0.500, 0.500, 0.182], [0.000, 0.000, 0.401], [0.500, 0.500, 0.835]]
}

---

4) is favored, and the nearest alternative lies 6.4 kJ/mol of atoms above it.